Here is crystalline KLa2TaN4 at its relaxed geometry from Alexandria. Energies are from PBE.

* crystal system: orthorhombic
* E_form (uncorrected): -0.7400 eV/atom
* total DFT energy (no corrections): -7.75 eV per atom

The structure in CIF format:
```
data_KLa2TaN4
_space_group_name_H-M_alt 'I m m a'
_space_group_IT_number 74
_space_group_name_Hall '-I 2b 2'
_cell_length_a 6.917
_cell_length_b 6.918
_cell_length_c 10.735
_cell_angle_alpha 90.00
_cell_angle_beta 90.00
_cell_angle_gamma 90.00
loop_
_atom_site_label
_atom_site_type_symbol
_atom_site_fract_x
_atom_site_fract_y
_atom_site_fract_z
_atom_site_occupancy
K1 K 0.000 0.000 0.000 1
La1 La 0.000 0.000 0.500 1
La2 La 0.250 0.250 0.250 1
Ta1 Ta 0.250 0.250 0.750 1
N1 N 0.000 0.022 0.747 1
N2 N 0.229 0.250 0.560 1
```

---

Here is crystalline KLa2TcN4 at its relaxed geometry from Alexandria. Energies are from PBE.

* crystal system: orthorhombic
* E_form (uncorrected): -0.7051 eV/atom
* total DFT energy (no corrections): -7.53 eV per atom

The structure in CIF format:
```
data_KLa2TcN4
_space_group_name_H-M_alt 'C m c m'
_space_group_IT_number 63
_space_group_name_Hall '-C 2c 2'
_cell_length_a 3.558
_cell_length_b 13.344
_cell_length_c 12.561
_cell_angle_alpha 90.00
_cell_angle_beta 90.00
_cell_angle_gamma 90.00
loop_
_atom_site_label
_atom_site_type_symbol
_atom_site_fract_x
_atom_site_fract_y
_atom_site_fract_z
_atom_site_occupancy
K1 K 0.000 0.073 0.250 1
La1 La 0.000 0.373 0.038 1
Tc1 Tc 0.000 0.193 0.750 1
N1 N 0.000 0.000 0.000 1
N2 N 0.000 0.256 0.619 1
N3 N 0.000 0.379 0.250 1
```

---

Here is crystalline KLa2Tc2N6 at its relaxed geometry from Alexandria. Energies are from PBE.

* crystal system: triclinic
* E_form (uncorrected): -0.5214 eV/atom
* total DFT energy (no corrections): -7.94 eV per atom

The structure in CIF format:
```
data_KLa2Tc2N6
_space_group_name_H-M_alt 'P -1'
_space_group_IT_number 2
_cell_length_a 6.264
_cell_length_b 6.744
_cell_length_c 6.863
_cell_angle_alpha 97.27
_cell_angle_beta 115.80
_cell_angle_gamma 113.08
loop_
_space_group_symop_operation_xyz
'x,y,z'
'-x,-y,-z'
loop_
_atom_site_label
_atom_site_type_symbol
_atom_site_fract_x
_atom_site_fract_y
_atom_site_fract_z
_atom_site_occupancy
K1 K 0.000 0.000 0.000 1
La1 La 0.376 0.276 0.674 1
Tc1 Tc 0.220 0.680 0.672 1
N1 N 0.122 0.905 0.668 1
N2 N 0.269 0.569 0.899 1
N3 N 0.471 0.717 0.598 1
```

---

Here is crystalline K2LaTc2N6 at its relaxed geometry from Alexandria. Energies are from PBE.

* crystal system: monoclinic
* E_form (uncorrected): -0.2096 eV/atom
* total DFT energy (no corrections): -7.28 eV per atom

The structure in CIF format:
```
data_K2LaTc2N6
_space_group_name_H-M_alt 'C 1 2/m 1'
_space_group_IT_number 12
_cell_length_a 11.017
_cell_length_b 6.347
_cell_length_c 7.543
_cell_angle_alpha 90.00
_cell_angle_beta 122.64
_cell_angle_gamma 90.00
loop_
_space_group_symop_operation_xyz
'x,y,z'
'-x,-y,-z'
'-x,y,-z'
'x,-y,z'
'x+1/2,y+1/2,z'
'-x+1/2,-y+1/2,-z'
'-x+1/2,y+1/2,-z'
'x+1/2,-y+1/2,z'
loop_
_atom_site_label
_atom_site_type_symbol
_atom_site_fract_x
_atom_site_fract_y
_atom_site_fract_z
_atom_site_occupancy
K1 K 0.207 0.000 0.179 1
La1 La 0.000 0.000 0.500 1
Tc1 Tc 0.040 0.500 0.204 1
N1 N 0.037 0.265 0.769 1
N2 N 0.231 0.500 0.349 1
```

---

Here is crystalline KLaTcN3 at its relaxed geometry from Alexandria. Energies are from PBE.

* crystal system: monoclinic
* E_form (uncorrected): -0.4273 eV/atom
* total DFT energy (no corrections): -7.32 eV per atom

The structure in CIF format:
```
data_KLaTcN3
_space_group_name_H-M_alt 'C 1 2/m 1'
_space_group_IT_number 12
_cell_length_a 14.027
_cell_length_b 3.979
_cell_length_c 7.814
_cell_angle_alpha 90.00
_cell_angle_beta 105.90
_cell_angle_gamma 90.00
loop_
_space_group_symop_operation_xyz
'x,y,z'
'-x,-y,-z'
'-x,y,-z'
'x,-y,z'
'x+1/2,y+1/2,z'
'-x+1/2,-y+1/2,-z'
'-x+1/2,y+1/2,-z'
'x+1/2,-y+1/2,z'
loop_
_atom_site_label
_atom_site_type_symbol
_atom_site_fract_x
_atom_site_fract_y
_atom_site_fract_z
_atom_site_occupancy
K1 K 0.134 0.000 0.070 1
La1 La 0.162 0.000 0.595 1
Tc1 Tc 0.006 0.500 0.330 1
N1 N 0.010 0.000 0.330 1
N2 N 0.129 0.500 0.793 1
N3 N 0.152 0.500 0.371 1
```

---

Here is crystalline KLaTi2N at its relaxed geometry from Alexandria. Energies are from PBE.

* crystal system: tetragonal
* E_form (uncorrected): 2.1782 eV/atom
* total DFT energy (no corrections): -3.85 eV per atom

The structure in CIF format:
```
data_KLaTi2N
_space_group_name_H-M_alt 'P 4/m m m'
_space_group_IT_number 123
_space_group_name_Hall '-P 4 2'
_cell_length_a 4.808
_cell_length_b 4.808
_cell_length_c 7.430
_cell_angle_alpha 90.00
_cell_angle_beta 90.00
_cell_angle_gamma 90.00
loop_
_atom_site_label
_atom_site_type_symbol
_atom_site_fract_x
_atom_site_fract_y
_atom_site_fract_z
_atom_site_occupancy
K1 K 0.000 0.000 0.000 1
La1 La 0.000 0.000 0.500 1
Ti1 Ti 0.000 0.500 0.500 1
N1 N 0.500 0.500 0.000 1
```

---

Question: Which of these has the highest total DFT energy (no corrections)?
Answer: KLaTi2N

---

Repeat the third record exactly.
Here is crystalline KLa2Tc2N6 at its relaxed geometry from Alexandria. Energies are from PBE.

* crystal system: triclinic
* E_form (uncorrected): -0.5214 eV/atom
* total DFT energy (no corrections): -7.94 eV per atom

The structure in CIF format:
```
data_KLa2Tc2N6
_space_group_name_H-M_alt 'P -1'
_space_group_IT_number 2
_cell_length_a 6.264
_cell_length_b 6.744
_cell_length_c 6.863
_cell_angle_alpha 97.27
_cell_angle_beta 115.80
_cell_angle_gamma 113.08
loop_
_space_group_symop_operation_xyz
'x,y,z'
'-x,-y,-z'
loop_
_atom_site_label
_atom_site_type_symbol
_atom_site_fract_x
_atom_site_fract_y
_atom_site_fract_z
_atom_site_occupancy
K1 K 0.000 0.000 0.000 1
La1 La 0.376 0.276 0.674 1
Tc1 Tc 0.220 0.680 0.672 1
N1 N 0.122 0.905 0.668 1
N2 N 0.269 0.569 0.899 1
N3 N 0.471 0.717 0.598 1
```

---

Question: The highest total DFT energy (no corrections) belongs to which entry?
Answer: KLaTi2N